<A>
This record from the Alexandria database describes a relaxed TiF crystal. The functional is GGA-PBE.

Structure (POSCAR):
```
TiF
1.0
6.342 0.000 0.000
0.000 6.342 0.000
0.000 0.000 2.818
Ti F
4 4
direct
0.203 0.203 0.000
0.297 0.703 0.500
0.703 0.297 0.500
0.797 0.797 0.000
0.123 0.877 0.000
0.377 0.377 0.500
0.623 0.623 0.500
0.877 0.123 0.000
```

SG: No. 136
Spin magnetization: 0.92 μB/cell

<B>
This record from the Alexandria database describes a relaxed TiF crystal. The functional is GGA-PBE.

Structure (POSCAR):
```
TiF
1.0
2.582 -1.491 0.000
2.582 1.491 0.000
-1.793 0.000 7.439
Ti F
2 2
direct
0.217 0.217 0.144
0.783 0.783 0.856
0.392 0.392 0.690
0.608 0.608 0.310
```

SG: No. 12
Spin magnetization: 0.00 μB/cell

Name the least stable of them. <A>.

<A>
This record from the Alexandria database describes a relaxed TiF crystal. The functional is GGA-PBE.

Structure (POSCAR):
```
TiF
1.0
3.225 0.000 0.000
0.000 3.225 0.000
0.000 0.000 4.890
Ti F
2 2
direct
0.250 0.250 0.198
0.750 0.750 0.802
0.250 0.750 0.500
0.750 0.250 0.500
```

SG: No. 129
Spin magnetization: 0.00 μB/cell

<B>
This record from the Alexandria database describes a relaxed TiF crystal. The functional is GGA-PBE.

Structure (POSCAR):
```
TiF
1.0
2.856 0.000 0.000
-1.428 2.473 0.000
0.000 0.000 7.284
Ti F
2 2
direct
0.333 0.667 0.000
0.667 0.333 0.500
0.333 0.667 0.704
0.667 0.333 0.204
```

SG: No. 186
Spin magnetization: 1.74 μB/cell

<C>
This record from the Alexandria database describes a relaxed TiF crystal. The functional is GGA-PBE.

Structure (POSCAR):
```
TiF
1.0
0.000 2.441 2.441
2.441 0.000 2.441
2.441 2.441 0.000
Ti F
1 1
direct
0.000 0.000 0.000
0.250 0.250 0.250
```

SG: No. 216
Spin magnetization: 0.99 μB/cell

<D>
This record from the Alexandria database describes a relaxed TiF crystal. The functional is GGA-PBE.

Structure (POSCAR):
```
TiF
1.0
8.560 0.000 0.000
0.000 3.782 0.000
0.000 0.000 4.604
Ti F
6 6
direct
0.000 0.203 0.000
0.173 0.588 0.519
0.327 0.412 0.019
0.500 0.797 0.500
0.673 0.412 0.019
0.827 0.588 0.519
0.000 0.098 0.523
0.219 0.928 0.935
0.281 0.072 0.435
0.500 0.902 0.023
0.719 0.072 0.435
0.781 0.928 0.935
```

SG: No. 31
Spin magnetization: 0.66 μB/cell

Name the least stable of them. <C>.

<A>
This record from the Alexandria database describes a relaxed TiF crystal. The functional is GGA-PBE.

Structure (POSCAR):
```
TiF
1.0
2.868 0.000 0.000
0.000 9.255 0.000
0.000 0.000 6.744
Ti F
6 6
direct
0.250 0.095 0.182
0.250 0.405 0.182
0.250 0.750 0.528
0.750 0.250 0.472
0.750 0.595 0.818
0.750 0.905 0.818
0.250 0.250 0.978
0.250 0.583 0.340
0.250 0.917 0.340
0.750 0.083 0.660
0.750 0.417 0.660
0.750 0.750 0.022
```

SG: No. 59
Spin magnetization: 1.73 μB/cell

<B>
This record from the Alexandria database describes a relaxed TiF crystal. The functional is GGA-PBE.

Structure (POSCAR):
```
TiF
1.0
6.113 0.000 0.000
0.000 6.113 0.000
0.000 0.000 6.113
Ti F
6 6
direct
0.000 0.250 0.500
0.000 0.750 0.500
0.250 0.500 0.000
0.500 0.000 0.250
0.500 0.000 0.750
0.750 0.500 0.000
0.000 0.500 0.250
0.000 0.500 0.750
0.250 0.000 0.500
0.500 0.250 0.000
0.500 0.750 0.000
0.750 0.000 0.500
```

SG: No. 223
Spin magnetization: 13.89 μB/cell

Name the least stable of them. <B>.

<A>
This record from the Alexandria database describes a relaxed TiF crystal. The functional is GGA-PBE.

Structure (POSCAR):
```
TiF
1.0
2.831 0.000 0.000
0.006 3.973 0.000
1.394 0.033 4.735
Ti F
2 2
direct
0.000 0.000 0.000
0.276 0.228 0.454
0.190 0.725 0.626
0.916 0.504 0.170
```

SG: No. 1
Spin magnetization: 0.00 μB/cell

<B>
This record from the Alexandria database describes a relaxed TiF crystal. The functional is GGA-PBE.

Structure (POSCAR):
```
TiF
1.0
2.716 0.000 0.000
0.000 2.716 0.000
0.000 0.000 7.184
Ti F
2 2
direct
0.250 0.250 0.156
0.750 0.750 0.844
0.250 0.250 0.682
0.750 0.750 0.318
```

SG: No. 129
Spin magnetization: 0.00 μB/cell

<C>
This record from the Alexandria database describes a relaxed TiF crystal. The functional is GGA-PBE.

Structure (POSCAR):
```
TiF
1.0
-4.370 4.370 1.518
4.370 -4.370 1.518
4.370 4.370 -1.518
Ti F
4 4
direct
0.096 0.653 0.749
0.347 0.096 0.444
0.653 0.904 0.556
0.904 0.347 0.251
0.125 0.220 0.345
0.220 0.875 0.096
0.780 0.125 0.904
0.875 0.780 0.655
```

SG: No. 87
Spin magnetization: 1.80 μB/cell

<D>
This record from the Alexandria database describes a relaxed TiF crystal. The functional is GGA-PBE.

Structure (POSCAR):
```
TiF
1.0
1.474 0.851 7.583
-1.474 0.851 7.583
0.000 -1.702 7.583
Ti F
2 2
direct
0.000 0.000 0.000
0.430 0.430 0.430
0.277 0.277 0.277
0.818 0.818 0.818
```

SG: No. 160
Spin magnetization: 0.00 μB/cell

Name the least stable of them. <A>.

<A>
This record from the Alexandria database describes a relaxed TiTl3F crystal. The functional is GGA-PBE.

Structure (POSCAR):
```
TiTl3F
1.0
4.965 0.000 0.000
0.000 4.965 0.000
0.000 0.000 4.965
Ti Tl F
1 3 1
direct
0.000 0.000 0.000
0.000 0.500 0.500
0.500 0.000 0.500
0.500 0.500 0.000
0.500 0.500 0.500
```

SG: No. 221
Spin magnetization: 0.00 μB/cell

<B>
This record from the Alexandria database describes a relaxed TiTl3F crystal. The functional is GGA-PBE.

Structure (POSCAR):
```
TiTl3F
1.0
5.550 0.000 0.000
0.000 5.550 0.000
0.000 0.000 5.550
Ti Tl F
1 3 1
direct
0.000 0.000 0.000
0.000 0.000 0.500
0.000 0.500 0.000
0.500 0.000 0.000
0.500 0.500 0.500
```

SG: No. 221
Spin magnetization: 3.61 μB/cell

Name the least stable of them. <B>.